Entry 1:
Below is a relaxed structure of RuS2N2, with properties calculated at the PBE level.

Crystal system: tetragonal
Formation energy without anion corrections, eV per atom: 1.70

a b c (Å): 3.5133 3.5133 4.5571
angles (deg): 90.00 90.00 90.00
Sites, in units of the cell vectors:
Ru1 0.0000 0.0000 0.0000
S1 0.5000 0.5000 0.0000
S2 0.5000 0.5000 0.5000
N1 0.0000 0.5000 0.5000
N2 0.5000 0.0000 0.5000

---

Entry 2:
Below is a relaxed structure of RuS2N2, with properties calculated at the PBE level.

Crystal system: tetragonal
Formation energy without anion corrections, eV per atom: 1.63

a b c (Å): 4.7808 4.7808 3.6613
angles (deg): 90.00 90.00 90.00
Sites, in units of the cell vectors:
Ru1 0.0000 0.0000 0.0000
S1 0.0000 0.5000 0.0000
S2 0.5000 0.0000 0.0000
N1 0.0000 0.0000 0.5000
N2 0.5000 0.5000 0.5000

---

- Among the records above, which one has the highest formation energy without anion corrections?
  number 1

---

- Among the records above, which one has the highest formation energy without anion corrections?
  number 1

---

- Which formula does entry 1 have?
  RuS2N2